# CaAs3Pt3

An optimized crystal structure of CaAs3Pt3 (PBE-GGA, Alexandria via LeMat-Bulk).

Unit cell a=6.8985 b=6.8985 c=6.8985 alpha=90.00 beta=90.00 gamma=90.00
Sites, in units of the cell vectors:
As1 0.0000 0.5000 0.7500
As2 0.0000 0.5000 0.2500
As3 0.2500 0.0000 0.5000
Pt1 0.2500 0.5000 0.0000
Pt2 0.0000 0.7500 0.5000
Ca1 0.5000 0.5000 0.5000
As4 0.5000 0.2500 0.0000
Pt3 0.5000 0.0000 0.2500
Pt4 0.5000 0.0000 0.7500
Ca2 0.0000 0.0000 0.0000
Pt5 0.0000 0.2500 0.5000
As5 0.7500 0.0000 0.5000
As6 0.5000 0.7500 0.0000
Pt6 0.7500 0.5000 0.0000

DFT formation energy = -404 meV per atom
Total moment = 0.00 μB/cell
Raw total energy = -5.271 eV/atom
DOS at the Fermi energy = 10.48 states/eV per cell
Space group = Pm-3n